A plane-wave DFT calculation with meta-GGA SCAN was carried out for SrMnGa2Pt at its PBEsol-relaxed geometry.

a b c (Å): 4.5802 4.5802 5.3537
angles (deg): 90.00 90.00 90.00
Positions (direct):
Sr: 0.0000 0.0000 0.0000
Mn: 0.0000 0.0000 0.5000
Ga: 0.0000 0.5000 0.5000
Ga: 0.5000 0.0000 0.5000
Pt: 0.5000 0.5000 0.0000

formation enthalpy at 0 K: 0.32 eV/atom
SG: P4/mmm, No. 123
size of the total moment: 0.63 μB/atom
E_tot: -28.36 eV per atom

A plane-wave DFT calculation with meta-GGA SCAN was carried out for RbTiMnGa2 at its PBEsol-relaxed geometry.

a b c (Å): 5.0028 5.0028 5.3100
angles (deg): 90.00 90.00 90.00
Positions (direct):
Rb: 0.0000 0.0000 0.0000
Ti: 0.0000 0.0000 0.5000
Mn: 0.5000 0.5000 0.0000
Ga: 0.0000 0.5000 0.5000
Ga: 0.5000 0.0000 0.5000

formation enthalpy at 0 K: 0.93 eV/atom
SG: P4/mmm, No. 123
size of the total moment: 1.09 μB/atom
E_tot: -16.62 eV per atom

A plane-wave DFT calculation with meta-GGA SCAN was carried out for MnGa3Re at its PBEsol-relaxed geometry.

a b c (Å): 4.7623 4.7623 4.7623
angles (deg): 90.00 90.00 90.00
Positions (direct):
Mn: 0.0000 0.0000 0.0000
Ga: 0.0000 0.5000 0.5000
Ga: 0.5000 0.0000 0.5000
Ga: 0.5000 0.5000 0.0000
Re: 0.5000 0.5000 0.5000

formation enthalpy at 0 K: 0.39 eV/atom
SG: Pm-3m, No. 221
size of the total moment: 1.13 μB/atom
E_tot: -27.29 eV per atom

A plane-wave DFT calculation with meta-GGA SCAN was carried out for Mn2GaRh at its PBEsol-relaxed geometry.

a b c (Å): 4.1335 4.1335 4.1335
angles (deg): 60.00 60.00 60.00
Positions (direct):
Mn: 0.0000 0.0000 0.0000
Mn: 0.2500 0.2500 0.2500
Ga: 0.7500 0.7500 0.7500
Rh: 0.5000 0.5000 0.5000

formation enthalpy at 0 K: -0.53 eV/atom
SG: F-43m, No. 216
size of the total moment: 0.27 μB/atom
E_tot: -22.19 eV per atom

A plane-wave DFT calculation with meta-GGA SCAN was carried out for MnGaSb2Ru at its PBEsol-relaxed geometry.

a b c (Å): 4.7725 4.7725 4.4412
angles (deg): 90.00 90.00 90.00
Positions (direct):
Mn: 0.0000 0.0000 0.0000
Ga: 0.0000 0.0000 0.5000
Sb: 0.0000 0.5000 0.0000
Sb: 0.5000 0.0000 0.0000
Ru: 0.5000 0.5000 0.5000

SG: P4/mmm, No. 123
size of the total moment: 0.60 μB/atom
E_tot: -27.94 eV per atom

A plane-wave DFT calculation with meta-GGA SCAN was carried out for MnGa2S4 at its PBEsol-relaxed geometry.

a b c (Å): 12.2925 12.2925 12.2925
angles (deg): 16.96 16.96 16.96
Positions (direct):
Mn: 0.0000 0.0000 0.0000
Ga: 0.5317 0.5317 0.5317
Ga: 0.7648 0.7648 0.7648
S: 0.0643 0.0643 0.0643
S: 0.4702 0.4702 0.4702
S: 0.6415 0.6415 0.6415
S: 0.8923 0.8923 0.8923

SG: R3m, No. 160
size of the total moment: 0.65 μB/atom
E_tot: -13.52 eV per atom